Entry 1:
Compound: Al2Zn2Ge
Source: the Alexandria database
Functional: PBE-GGA
Structure: relaxed

Summary:
theoretical density	4.9	g cm⁻³
DOS(E_F)	1.849	states/eV/f.u.
total magnetization	0.000	μB/f.u.
energy relative to the lowest polymorph listed for this composition	11	meV/atom

a = 7.7971 Å, b = 7.7971 Å, c = 2.8552 Å
α = 90.00°, β = 90.00°, γ = 90.00°
With the nearest neighbours (Å) after each atom.
Space group P4/mbm (No. 127)
Inequivalent atoms, fractional coordinates:
Al: 0.1227 0.3773 0.0000  6 Zn 2.63-2.77, 3 Al 2.71-2.86
Zn: 0.1766 0.6766 0.5000  6 Al 2.63-2.77, 2 Zn 2.86
Ge: 0.0000 0.0000 0.0000  2 Ge 2.86, 4 Al 3.09

***

Entry 2:
Compound: Ta2CdPb
Source: the Alexandria database
Functional: PBE-GGA
Structure: relaxed

Summary:
theoretical density	12.7	g cm⁻³
DOS(E_F)	3.047	states/eV/f.u.
total magnetization	0.000	μB/f.u.
energy	-6.7950	eV per atom

a = 3.5106 Å, b = 4.9536 Å, c = 10.2386 Å
α = 90.00°, β = 90.00°, γ = 90.00°
With the nearest neighbours (Å) after each atom.
Space group Cmm2 (No. 35)
Inequivalent atoms, fractional coordinates:
Ta: 0.0000 0.0000 0.0000  6 Ta 2.73-3.04, 2 Cd 2.96
Ta: 0.0000 0.5000 0.2044  6 Ta 2.73-3.04
Cd: 0.0000 0.5000 0.7670  2 Ta 2.96, 4 Cd 3.04
Pb: 0.0000 0.0000 0.4566  4 Pb 3.04, 2 Ta 3.12

***

Entry 3:
Compound: Y6C2NO2
Source: the Alexandria database
Functional: PBE-GGA
Structure: relaxed

Summary:
theoretical density	5.4	g cm⁻³
DOS(E_F)	2.688	states/eV/f.u.
total magnetization	0.000	μB/f.u.
E_form (uncorrected)	-152	kJ per mole of atoms

a = 6.1354 Å, b = 10.5903 Å, c = 6.0966 Å
α = 90.00°, β = 109.73°, γ = 90.00°
With the nearest neighbours (Å) after each atom.
Space group C2/m (No. 12)
Inequivalent atoms, fractional coordinates:
Y: 0.2419 0.0000 0.2675  1 N 2.37, 2 C 2.48, 2 O 2.52
Y: 0.2426 0.1716 0.7414  2 C 2.41-2.50, 1 N 2.49, 2 O 2.49-2.51
C: 0.0000 0.3325 0.5000  6 Y 2.41-2.50
N: 0.0000 0.0000 0.5000  6 Y 2.37-2.49
O: 0.0000 0.1673 0.0000  6 Y 2.49-2.52

***

Entry 4:
Compound: Tl2ReTe
Source: the Alexandria database
Functional: PBE-GGA
Structure: relaxed

Summary:
theoretical density	12.9	g cm⁻³
DOS(E_F)	3.518	states/eV/f.u.
total magnetization	0.001	μB/f.u.
E_form (uncorrected)	107	kJ per mole of atoms
energy relative to the lowest polymorph listed for this composition	698	meV/atom

a = 4.9585 Å, b = 4.9585 Å, c = 3.7838 Å
α = 90.00°, β = 90.00°, γ = 90.00°
With the nearest neighbours (Å) after each atom.
Space group P4/mmm (No. 123)
Inequivalent atoms, fractional coordinates:
Tl: 0.0000 0.5000 0.0000  4 Re 3.12, 4 Te 3.12
Re: 0.0000 0.0000 0.5000  8 Tl 3.12
Te: 0.5000 0.5000 0.5000  8 Tl 3.12

***

Entry 5:
Compound: Nd12Y5Ho2
Source: the Alexandria database
Functional: PBE-GGA
Structure: relaxed

Summary:
theoretical density	6.4	g cm⁻³
DOS(E_F)	30.096	states/eV/f.u.
total magnetization	0.000	μB/f.u.
energy relative to the lowest polymorph listed for this composition	28	meV/atom

a = 19.3232 Å, b = 7.5742 Å, c = 10.0642 Å
α = 90.00°, β = 117.25°, γ = 90.00°
With the nearest neighbours (Å) after each atom.
Space group C2/m (No. 12)
Inequivalent atoms, fractional coordinates:
Nd: 0.0028 0.0000 0.2084  1 Y 2.96, 2 Ho 3.07
Nd: 0.0076 0.5000 0.3284  5 Nd 3.35-3.60, 2 Ho 3.58
Nd: 0.1605 0.2486 0.8479  6 Nd 3.41-3.81, 3 Y 3.67-3.80
Nd: 0.1643 0.2394 0.4952  5 Nd 3.27-3.63
Y: 0.0000 0.0000 0.5000  2 Nd 2.96
Y: 0.1753 0.0000 0.1727  10 Nd 3.51-3.90, 2 Ho 3.78, 2 Y 3.79
Y: 0.1795 0.5000 0.1934  2 Ho 3.46, 8 Nd 3.68-3.83, 2 Y 3.79
Ho: 0.0000 0.2994 0.0000  1 Ho 3.04, 2 Nd 3.07

***

Entry 6:
Compound: ScCo2Re
Source: the Alexandria database
Functional: PBE-GGA
Structure: relaxed

Summary:
theoretical density	10.3	g cm⁻³
DOS(E_F)	2.638	states/eV/f.u.
total magnetization	3.831	μB/f.u.
energy relative to the lowest polymorph listed for this composition	73	meV/atom

a = 6.0832 Å, b = 6.0832 Å, c = 6.0832 Å
α = 90.00°, β = 90.00°, γ = 90.00°
With the nearest neighbours (Å) after each atom.
Space group Fm-3m (No. 225)
Inequivalent atoms, fractional coordinates:
Sc: 0.0000 0.0000 0.0000  8 Co 2.63
Co: 0.2500 0.2500 0.2500  4 Re 2.63, 4 Sc 2.63
Re: 0.0000 0.0000 0.5000  8 Co 2.63

***

Entry 7:
Compound: Th2NpPdRh5
Source: the Alexandria database
Functional: PBE-GGA
Structure: relaxed

Summary:
theoretical density	11.7	g cm⁻³
DOS(E_F)	16.717	states/eV/f.u.
total magnetization	3.884	μB/f.u.
energy	-7.9924	eV per atom

a = 8.4569 Å, b = 8.4569 Å, c = 10.5091 Å
α = 90.00°, β = 90.00°, γ = 90.00°
With the nearest neighbours (Å) after each atom.
Space group I4/mcm (No. 140)
Inequivalent atoms, fractional coordinates:
Th: 0.1368 0.3632 0.0000  2 Rh 2.51
Np: 0.0000 0.0000 0.2500  2 Rh 2.63
Pd: 0.0000 0.5000 0.2500  4 Rh 2.59
Rh: 0.0000 0.0000 0.0000  2 Np 2.63
Rh: 0.1928 0.3072 0.3612  1 Th 2.51, 1 Pd 2.59, 1 Rh 2.71

***

Entry 8:
Compound: BeTcTe2
Source: the Alexandria database
Functional: PBE-GGA
Structure: relaxed

Summary:
theoretical density	6.7	g cm⁻³
DOS(E_F)	2.945	states/eV/f.u.
total magnetization	0.000	μB/f.u.
E_form (uncorrected)	4	kJ per mole of atoms

a = 8.0117 Å, b = 3.3886 Å, c = 6.6632 Å
α = 90.00°, β = 99.54°, γ = 90.00°
With the nearest neighbours (Å) after each atom.
Space group Cm (No. 8)
Inequivalent atoms, fractional coordinates:
Be: 0.0000 0.0000 0.0000  3 Tc 2.35-2.44, 1 Te 2.56
Tc: 0.2208 0.5000 0.0643  3 Be 2.35-2.44, 2 Te 2.63
Te: 0.2213 0.0000 0.7633  1 Be 2.56, 2 Tc 2.63
Te: 0.4563 0.0000 0.2934  2 Be 2.65, 3 Tc 2.79-2.81

***

Entry 9:
Compound: CaDyInCl6
Source: the Alexandria database
Functional: PBE-GGA
Structure: relaxed

Summary:
theoretical density	2.9	g cm⁻³
DOS(E_F)	0.000	states/eV/f.u.
total magnetization	0.000	μB/f.u.
E_form (uncorrected)	-195	kJ per mole of atoms

a = 7.1115 Å, b = 7.1115 Å, c = 13.6965 Å
α = 90.00°, β = 90.00°, γ = 120.00°
With the nearest neighbours (Å) after each atom.
Space group P-31c (No. 163)
Inequivalent atoms, fractional coordinates:
Ca: 0.3333 0.6667 0.2500  6 Cl 2.76
Dy: 0.3333 0.6667 0.7500  6 Cl 2.66
In: 0.0000 0.0000 0.0000  6 Cl 3.26
Cl: 0.0107 0.3764 0.6398  1 Dy 2.66, 1 Ca 2.76

***

Entry 10:
Compound: HfTcHgN2
Source: the Alexandria database
Functional: PBE-GGA
Structure: relaxed

Summary:
theoretical density	8.8	g cm⁻³
DOS(E_F)	3.551	states/eV/f.u.
total magnetization	3.430	μB/f.u.
E_form (uncorrected)	240	kJ per mole of atoms

a = 4.1011 Å, b = 4.1011 Å, c = 5.6766 Å
α = 90.00°, β = 90.00°, γ = 90.00°
With the nearest neighbours (Å) after each atom.
Space group P4/mmm (No. 123)
Inequivalent atoms, fractional coordinates:
Hf: 0.0000 0.0000 0.0000  2 Hg 2.84, 4 Tc 2.90
Tc: 0.5000 0.5000 0.0000  4 Hf 2.90
Hg: 0.0000 0.0000 0.5000  4 N 2.05
N: 0.0000 0.5000 0.5000  2 Hg 2.05

***

Entry 11:
Compound: ZnFeRu3
Source: the Alexandria database
Functional: PBE-GGA
Structure: relaxed

Summary:
theoretical density	8.2	g cm⁻³
DOS(E_F)	11.740	states/eV/f.u.
total magnetization	0.447	μB/f.u.
energy relative to the lowest polymorph listed for this composition	723	meV/atom

a = 4.4100 Å, b = 4.4100 Å, c = 4.4100 Å
α = 90.00°, β = 90.00°, γ = 90.00°
With the nearest neighbours (Å) after each atom.
Space group Pm-3m (No. 221)
Inequivalent atoms, fractional coordinates:
Zn: 0.0000 0.0000 0.0000  6 Ru 2.21
Fe: 0.5000 0.5000 0.5000  12 Ru 3.12
Ru: 0.0000 0.0000 0.5000  2 Zn 2.21

***

Entry 12:
Compound: Li2InAsH
Source: the Alexandria database
Functional: PBE-GGA
Structure: relaxed

Summary:
theoretical density	4.4	g cm⁻³
DOS(E_F)	0.631	states/eV/f.u.
total magnetization	0.000	μB/f.u.
energy	-3.2033	eV per atom

a = 4.1369 Å, b = 4.1369 Å, c = 4.5440 Å
α = 90.00°, β = 90.00°, γ = 90.00°
With the nearest neighbours (Å) after each atom.
Space group P4/mmm (No. 123)
Inequivalent atoms, fractional coordinates:
Li: 0.0000 0.5000 0.0000  2 H 2.07
In: 0.0000 0.0000 0.5000  2 H 2.27
As: 0.5000 0.5000 0.5000  4 In 2.93, 8 Li 3.07
H: 0.0000 0.0000 0.0000  4 Li 2.07, 2 In 2.27

***

Entry 13:
Compound: Ce5H2Os2
Source: the Alexandria database
Functional: PBE-GGA
Structure: relaxed

Summary:
theoretical density	9.4	g cm⁻³
DOS(E_F)	19.059	states/eV/f.u.
total magnetization	2.703	μB/f.u.
energy	-6.7403	eV per atom

a = 16.5463 Å, b = 7.0314 Å, c = 6.5681 Å
α = 90.00°, β = 90.00°, γ = 90.00°
With the nearest neighbours (Å) after each atom.
Space group Ima2 (No. 46)
Inequivalent atoms, fractional coordinates:
Ce: 0.0293 0.2481 0.0000  2 H 2.45-2.46
Ce: 0.1580 0.6077 0.7641  1 H 2.35
Ce: 0.2500 0.0903 0.7582  2 H 2.33-2.36
H: 0.0000 0.0000 0.2528  6 Ce 2.45-2.72
H: 0.2500 0.1028 0.1124  4 Ce 2.33-2.36
Os: 0.0928 0.5470 0.2418  5 Ce 2.66-2.95

***

Entry 14:
Compound: Sm4YRh4
Source: the Alexandria database
Functional: PBE-GGA
Structure: relaxed

Summary:
theoretical density	8.1	g cm⁻³
DOS(E_F)	5.696	states/eV/f.u.
total magnetization	0.000	μB/f.u.
energy	-6.6843	eV per atom

a = 8.8880 Å, b = 8.8880 Å, c = 5.7284 Å
α = 90.00°, β = 90.00°, γ = 90.00°
With the nearest neighbours (Å) after each atom.
Space group P4_2/n (No. 86, origin choice 2)
Inequivalent atoms, fractional coordinates:
Sm: 0.0634 0.6656 0.1557  5 Rh 2.81-3.02
Y: 0.2500 0.2500 0.2500  4 Rh 2.74
Rh: 0.0251 0.6273 0.6503  1 Y 2.74, 5 Sm 2.81-3.02, 1 Rh 2.88

***

Entry 15:
Compound: CeNd2Pu3Te6
Source: the Alexandria database
Functional: PBE-GGA
Structure: relaxed

Summary:
theoretical density	8.5	g cm⁻³
DOS(E_F)	37.495	states/eV/f.u.
total magnetization	18.885	μB/f.u.
E_form (uncorrected)	-122	kJ per mole of atoms

a = 19.4992 Å, b = 4.4510 Å, c = 8.9675 Å
α = 90.00°, β = 103.58°, γ = 90.00°
With the nearest neighbours (Å) after each atom.
Space group C2/m (No. 12)
Inequivalent atoms, fractional coordinates:
Ce: 0.0000 0.0000 0.0000  6 Te 3.18-3.19
Nd: 0.1682 0.5000 0.3374  6 Te 3.17-3.20
Pu: 0.0000 0.0000 0.5000  6 Te 3.12-3.14
Pu: 0.1663 0.5000 0.8347  6 Te 3.13-3.14
Te: 0.0007 0.5000 0.7466  3 Pu 3.14, 2 Ce 3.18, 1 Nd 3.20
Te: 0.1648 0.0000 0.5885  3 Pu 3.12-3.13, 3 Nd 3.17-3.18
Te: 0.1681 0.0000 0.0818  3 Pu 3.14, 1 Ce 3.19, 2 Nd 3.19

***

Entry 16:
Compound: NdRu4
Source: the Alexandria database
Functional: PBE-GGA
Structure: relaxed

Summary:
theoretical density	8.0	g cm⁻³
DOS(E_F)	4.949	states/eV/f.u.
total magnetization	6.445	μB/f.u.
energy	-5.8666	eV per atom

a = 4.8518 Å, b = 4.8518 Å, c = 4.8518 Å
α = 90.00°, β = 90.00°, γ = 90.00°
With the nearest neighbours (Å) after each atom.
Space group Pm-3m (No. 221)
Inequivalent atoms, fractional coordinates:
Nd: 0.0000 0.0000 0.0000  6 Ru 2.43
Ru: 0.0000 0.0000 0.5000  2 Nd 2.43
Ru: 0.5000 0.5000 0.5000  12 Ru 3.43

***

Entry 17:
Compound: Li3U3TiTe8
Source: the Alexandria database
Functional: PBE-GGA
Structure: relaxed

Summary:
theoretical density	6.8	g cm⁻³
DOS(E_F)	16.755	states/eV/f.u.
total magnetization	9.005	μB/f.u.
E_form (uncorrected)	-72	kJ per mole of atoms

a = 8.4127 Å, b = 8.4127 Å, c = 21.6348 Å
α = 90.00°, β = 90.00°, γ = 120.00°
With the nearest neighbours (Å) after each atom.
Space group R-3m (No. 166, hexagonal axes)
Inequivalent atoms, fractional coordinates:
Li: 0.0000 0.5000 0.0000  6 Te 2.96-2.99
U: 0.0000 0.5000 0.5000  6 Te 3.07-3.09
Ti: 0.0000 0.0000 0.5000  6 Te 2.90
Te: 0.0000 0.0000 0.2550  3 Li 2.96, 3 U 3.09
Te: 0.0188 0.5094 0.2488  1 Ti 2.90, 2 Li 2.99, 2 U 3.07

***

Entry 18:
Compound: CaSb2Se
Source: the Alexandria database
Functional: PBE-GGA
Structure: relaxed

Summary:
theoretical density	5.6	g cm⁻³
DOS(E_F)	1.731	states/eV/f.u.
total magnetization	0.000	μB/f.u.
E_form (uncorrected)	-41	kJ per mole of atoms

a = 7.5489 Å, b = 7.5489 Å, c = 7.5489 Å
α = 90.00°, β = 90.00°, γ = 90.00°
With the nearest neighbours (Å) after each atom.
Space group F-43m (No. 216)
Inequivalent atoms, fractional coordinates:
Ca: 0.0000 0.0000 0.0000  4 Sb 3.27, 4 Se 3.27
Sb: 0.0000 0.0000 0.5000  4 Se 3.27, 4 Sb 3.27
Sb: 0.2500 0.2500 0.7500  4 Sb 3.27, 4 Ca 3.27
Se: 0.2500 0.2500 0.2500  4 Sb 3.27, 4 Ca 3.27

***

Entry 19:
Compound: Sr3Li4Tl
Source: the Alexandria database
Functional: PBE-GGA
Structure: relaxed

Summary:
theoretical density	3.1	g cm⁻³
DOS(E_F)	6.173	states/eV/f.u.
total magnetization	0.000	μB/f.u.
energy	-1.9418	eV per atom

a = 6.0942 Å, b = 8.0069 Å, c = 10.7357 Å
α = 90.00°, β = 90.00°, γ = 90.00°
With the nearest neighbours (Å) after each atom.
Space group Imm2 (No. 44)
Inequivalent atoms, fractional coordinates:
Sr: 0.0000 0.0000 0.0000  8 Li 3.88-4.29, 6 Sr 4.02-4.28, 2 Tl 4.11
Sr: 0.0000 0.2333 0.6415  7 Li 3.56-3.77, 2 Tl 3.62, 1 Sr 3.74
Li: 0.0000 0.3255 0.3174  3 Li 2.79-3.05, 1 Tl 2.84
Li: 0.2442 0.0000 0.3695  1 Tl 2.81, 4 Li 2.98-3.12
Tl: 0.0000 0.5000 0.0873  4 Li 2.81-2.84

***

Entry 20:
Compound: KZnBi2Pb
Source: the Alexandria database
Functional: PBE-GGA
Structure: relaxed

Summary:
theoretical density	7.0	g cm⁻³
DOS(E_F)	3.011	states/eV/f.u.
total magnetization	0.000	μB/f.u.
energy	-2.5691	eV per atom

a = 5.5332 Å, b = 5.5332 Å, c = 5.6368 Å
α = 90.00°, β = 90.00°, γ = 90.00°
With the nearest neighbours (Å) after each atom.
Space group P4/mmm (No. 123)
Inequivalent atoms, fractional coordinates:
K: 0.0000 0.0000 0.0000  2 Zn 2.82
Zn: 0.0000 0.0000 0.5000  4 Bi 2.77, 2 K 2.82
Bi: 0.0000 0.5000 0.5000  2 Zn 2.77
Pb: 0.5000 0.5000 0.0000  4 K 3.91, 8 Bi 3.95